Here is crystalline CeGa2POs2 at its relaxed geometry from the Alexandria database. Energies are from PBE-GGA.

Cell and atoms, written as POSCAR:
```
CeGa2POs2
1.0
4.4555 0.0000 0.0000
0.0000 4.4555 0.0000
0.0000 0.0000 5.5984
Ce Ga P Os
1 2 1 2
direct
0.0000 0.0000 0.0000
0.5000 0.5000 0.2243
0.5000 0.5000 0.7757
0.0000 0.0000 0.5000
0.0000 0.5000 0.5000
0.5000 0.0000 0.5000
```

Values from the calculation:
- Magnetic moment: 1.13 μB per formula unit
- Formation enthalpy at 0 K: -0.214 eV per atom

---

Here is crystalline CePmGaOs at its relaxed geometry from the Alexandria database. Energies are from PBE-GGA.

Cell and atoms, written as POSCAR:
```
CePmGaOs
1.0
3.8436 0.0000 0.0000
0.0000 2.0781 5.9339
0.0000 -2.0781 5.9339
Ce Pm Ga Os
1 1 1 1
direct
0.0000 0.0000 0.0000
0.5000 0.2787 0.2787
0.0000 0.6917 0.6917
0.5000 0.5396 0.5396
```

Values from the calculation:
- Magnetic moment: 0.00 μB per formula unit
- Formation enthalpy at 0 K: -0.383 eV per atom

---

Here is crystalline CePmGaOs at its relaxed geometry from the Alexandria database. Energies are from PBE-GGA.

Cell and atoms, written as POSCAR:
```
CePmGaOs
1.0
0.0000 3.5607 3.5607
3.5607 0.0000 3.5607
3.5607 3.5607 0.0000
Ce Pm Ga Os
1 1 1 1
direct
0.0000 0.0000 0.0000
0.5000 0.5000 0.5000
0.7500 0.7500 0.7500
0.2500 0.2500 0.2500
```

Values from the calculation:
- Magnetic moment: 0.21 μB per formula unit
- Formation enthalpy at 0 K: -0.221 eV per atom

---

Here is crystalline CePrGaOs at its relaxed geometry from the Alexandria database. Energies are from PBE-GGA.

Cell and atoms, written as POSCAR:
```
CePrGaOs
1.0
0.0000 3.5880 3.5880
3.5880 0.0000 3.5880
3.5880 3.5880 0.0000
Ce Pr Ga Os
1 1 1 1
direct
0.0000 0.0000 0.0000
0.5000 0.5000 0.5000
0.2500 0.2500 0.2500
0.7500 0.7500 0.7500
```

Values from the calculation:
- Magnetic moment: 0.27 μB per formula unit
- Formation enthalpy at 0 K: -0.173 eV per atom

---

Here is crystalline CePrGaOs at its relaxed geometry from the Alexandria database. Energies are from PBE-GGA.

Cell and atoms, written as POSCAR:
```
CePrGaOs
1.0
3.8286 0.0000 0.0000
0.0000 2.0809 6.1005
0.0000 -2.0809 6.1005
Ce Pr Ga Os
1 1 1 1
direct
0.0000 0.0000 0.0000
0.5000 0.7210 0.7210
0.0000 0.3146 0.3146
0.5000 0.4624 0.4624
```

Values from the calculation:
- Magnetic moment: 0.00 μB per formula unit
- Formation enthalpy at 0 K: -0.359 eV per atom

---

Here is crystalline CeGa2SiOs2 at its relaxed geometry from the Alexandria database. Energies are from PBE-GGA.

Cell and atoms, written as POSCAR:
```
CeGa2SiOs2
1.0
4.4726 0.0000 0.0000
0.0000 4.4726 0.0000
0.0000 0.0000 5.6690
Ce Ga Si Os
1 2 1 2
direct
0.0000 0.0000 0.0000
0.5000 0.5000 0.2289
0.5000 0.5000 0.7711
0.0000 0.0000 0.5000
0.0000 0.5000 0.5000
0.5000 0.0000 0.5000
```

Values from the calculation:
- Magnetic moment: 1.41 μB per formula unit
- Energy relative to the elements, uncorrected: -12.0 kJ per mole of atoms